P.
First-principles (GGA-PBE) data for a geometry-optimized LiBeTl2 structure, as listed in Alexandria via LeMat-Bulk.

Geometry as POSCAR:
```
LiBeTl2
1.0
-5.3277 6.8328 -1.5670
-7.3705 4.8135 0.1806
-5.2350 6.8486 1.7940
Be Tl Li
1 2 1
direct
0.2500 0.2500 0.2500 Be
0.5068 0.5068 0.5068 Tl
0.9932 0.9932 0.9932 Tl
0.7500 0.7500 0.7500 Li
```

Computed properties:
Space-group type: R-3m
Spin magnetization in μB/f.u.: 0.000

=====

Q.
First-principles (GGA-PBE) data for a geometry-optimized LiBeTl2 structure, as listed in Alexandria via LeMat-Bulk.

Geometry as POSCAR:
```
LiBeTl2
1.0
5.0034 0.0000 0.0000
2.5017 4.3331 0.0000
2.5017 1.4444 4.0852
Tl Be Li
2 1 1
direct
0.0000 0.0000 0.0000 Tl
0.2500 0.2500 0.2500 Tl
0.5000 0.5000 0.5000 Be
0.7500 0.7500 0.7500 Li
```

Computed properties:
Space-group type: F-43m
Spin magnetization in μB/f.u.: 0.000

=====

P has the most favorable energy; the next structure is 166 meV per atom above.